The following is a PBE calculation of crystalline Sr2CaZr at its relaxed geometry, from Alexandria.

Results
relative energy among the computed polymorphs	90	meV/atom
energy	-12.2	eV for the cell shown

Unit cell a=3.7285 b=5.9738 c=7.3672 alpha=90.00 beta=103.54 gamma=90.00
Space group Pm (No. 6)
Symmetry-distinct sites (fractional):
Sr  0.0000  0.0000  0.0000 x1
Sr  0.3183  0.5000  0.6770 x1
Ca  0.6982  0.0000  0.4459 x1
Zr  0.6082  0.5000  0.2126 x1